First-principles (PBE-GGA) data for crystalline LiReP2 at its relaxed geometry, as listed in the Alexandria database.

Computed properties:
The energy comes out at -6.2291 eV/atom. As for the magnetic moment: 0.00 μB/atom. As for the energy relative to the elements: 6 kJ/mol of atoms. The calculation puts the energy above the lowest structure with this stoichiometry at 0.387 eV/atom.

a = 3.075 Å, b = 4.904 Å, c = 7.777 Å
α = 90.00°, β = 90.00°, γ = 90.00°
Space group Cmmm (No. 65)
One atom of each set of equivalent atoms:
Li (0.000, 0.000, 0.000) x2
Re (0.000, 0.000, 0.500) x2
P (0.000, 0.500, 0.260) x4

---

First-principles (PBE-GGA) data for crystalline GaAuSe2Br at its relaxed geometry, as listed in the Alexandria database.

Computed properties:
The energy comes out at -2.5621 eV/atom. As for the magnetic moment: 0.04 μB/atom. Its formation energy from raw total energies is 0.427 eV per atom. The calculation puts the energy above the lowest structure with this stoichiometry at 0.165 eV/atom.

a = 5.017 Å, b = 5.017 Å, c = 5.087 Å
α = 90.00°, β = 90.00°, γ = 90.00°
Space group P4/mmm (No. 123)
One atom of each set of equivalent atoms:
Ga (0.000, 0.000, 0.000) x1
Au (0.500, 0.500, 0.500) x1
Se (0.000, 0.500, 0.000) x2
Br (0.000, 0.000, 0.500) x1

---

First-principles (PBE-GGA) data for crystalline Pu2Ga8Fe at its relaxed geometry, as listed in the Alexandria database.

Computed properties:
The energy comes out at -5.9160 eV/atom. As for the magnetic moment: 0.89 μB/atom. As for the energy relative to the elements: -33 kJ/mol of atoms.

a = 4.290 Å, b = 4.290 Å, c = 11.005 Å
α = 90.00°, β = 90.00°, γ = 90.00°
Space group P4/mmm (No. 123)
One atom of each set of equivalent atoms:
Pu (0.000, 0.000, 0.196) x2
Ga (0.000, 0.500, 0.000) x2
Ga (0.000, 0.500, 0.383) x4
Ga (0.500, 0.500, 0.194) x2
Fe (0.000, 0.000, 0.500) x1

---

First-principles (PBE-GGA) data for crystalline Na3Y3MoS8 at its relaxed geometry, as listed in the Alexandria database.

Computed properties:
The energy comes out at -5.9979 eV/atom. As for the magnetic moment: 0.13 μB/atom. Its formation energy from raw total energies is -1.518 eV per atom.

a = 7.7695 Å, b = 7.7695 Å, c = 20.3257 Å
α = 90.00°, β = 90.00°, γ = 120.00°
Space group R-3m (No. 166, hexagonal axes)
One atom of each set of equivalent atoms:
Na (0.0000, 0.5000, 0.0000) x9
Y (0.0000, 0.5000, 0.5000) x9
Mo (0.0000, 0.0000, 0.5000) x3
S (0.0000, 0.0000, 0.2430) x6
S (0.0266, 0.5133, 0.2376) x18

---

First-principles (PBE-GGA) data for crystalline Fe2AsPb at its relaxed geometry, as listed in the Alexandria database.

Computed properties:
The energy comes out at -5.6712 eV/atom. As for the magnetic moment: 0.00 μB/atom. As for the energy relative to the elements: 63 kJ/mol of atoms. The calculation puts the energy above the lowest structure with this stoichiometry at 0.497 eV/atom.

a = 6.812 Å, b = 6.812 Å, c = 5.873 Å
α = 90.00°, β = 90.00°, γ = 90.00°
Space group I-42d (No. 122)
One atom of each set of equivalent atoms:
Fe (0.184, 0.250, 0.125) x8
As (0.000, 0.000, 0.000) x4
Pb (0.000, 0.000, 0.500) x4

---

First-principles (PBE-GGA) data for crystalline Pr4Ta6O19 at its relaxed geometry, as listed in the Alexandria database.

Computed properties:
The energy comes out at -9.2904 eV/atom. As for the magnetic moment: 0.00 μB/atom. Its formation energy from raw total energies is -2.930 eV per atom.

a = 9.098 Å, b = 9.098 Å, c = 9.098 Å
α = 90.00°, β = 90.00°, γ = 90.00°
Space group I23 (No. 197)
One atom of each set of equivalent atoms:
Pr (0.155, 0.155, 0.155) x8
Ta (0.000, 0.155, 0.500) x12
O (0.000, 0.000, 0.000) x2
O (0.000, 0.000, 0.333) x12
O (0.043, 0.287, 0.681) x24

---

First-principles (PBE-GGA) data for crystalline Li2In3Sn2 at its relaxed geometry, as listed in the Alexandria database.

Computed properties:
The energy comes out at -3.0032 eV/atom. As for the magnetic moment: 0.00 μB/atom. As for the energy relative to the elements: -13 kJ/mol of atoms. The calculation puts the energy above the lowest structure with this stoichiometry at 0.000 eV/atom.

a = 4.540 Å, b = 5.449 Å, c = 7.478 Å
α = 81.53°, β = 89.81°, γ = 65.86°
Space group P-1 (No. 2)
One atom of each set of equivalent atoms:
Li (0.222, 0.059, 0.145) x2
In (0.353, 0.793, 0.574) x2
In (0.500, 0.500, 0.000) x1
Sn (0.067, 0.363, 0.744) x2

---

First-principles (PBE-GGA) data for crystalline TmBe17Fe at its relaxed geometry, as listed in the Alexandria database.

Computed properties:
The energy comes out at -4.0767 eV/atom. As for the magnetic moment: 0.10 μB/atom. As for the energy relative to the elements: -6 kJ/mol of atoms.

a = 7.4483 Å, b = 7.4483 Å, c = 10.8664 Å
α = 90.00°, β = 90.00°, γ = 120.00°
Space group R3m (No. 160, hexagonal axes)
One atom of each set of equivalent atoms:
Tm (0.0000, 0.0000, 0.0000) x3
Be (0.0000, 0.0000, 0.2475) x3
Be (0.0000, 0.0000, 0.4420) x3
Be (0.0059, 0.5030, 0.8391) x9
Be (0.0081, 0.2986, 0.3408) x18
Be (0.0093, 0.5046, 0.4961) x9
Be (0.0164, 0.5082, 0.1895) x9
Fe (0.0000, 0.0000, 0.6602) x3

---

First-principles (PBE-GGA) data for crystalline AcNpO5 at its relaxed geometry, as listed in the Alexandria database.

Computed properties:
The energy comes out at -8.9117 eV/atom. As for the magnetic moment: 0.00 μB/atom. Its formation energy from raw total energies is -2.935 eV per atom.

a = 4.239 Å, b = 6.910 Å, c = 8.800 Å
α = 90.00°, β = 90.00°, γ = 90.00°
Space group Immm (No. 71)
One atom of each set of equivalent atoms:
Ac (0.000, 0.000, 0.000) x2
Np (0.000, 0.000, 0.500) x2
O (0.000, 0.000, 0.282) x4
O (0.000, 0.294, 0.500) x4
O (0.000, 0.500, 0.000) x2

---

First-principles (PBE-GGA) data for crystalline Pm8Ga2Au at its relaxed geometry, as listed in the Alexandria database.

Computed properties:
The energy comes out at -4.6335 eV/atom. As for the magnetic moment: 0.00 μB/atom. As for the energy relative to the elements: -32 kJ/mol of atoms.

a = 19.029 Å, b = 5.097 Å, c = 6.840 Å
α = 90.00°, β = 102.61°, γ = 90.00°
Space group C2/m (No. 12)
One atom of each set of equivalent atoms:
Pm (0.024, 0.000, 0.271) x4
Pm (0.093, 0.500, 0.966) x4
Pm (0.159, 0.500, 0.478) x4
Pm (0.208, 0.000, 0.817) x4
Ga (0.187, 0.000, 0.253) x4
Au (0.000, 0.500, 0.500) x2

---

First-principles (PBE-GGA) data for crystalline SbTePd5 at its relaxed geometry, as listed in the Alexandria database.

Computed properties:
The energy comes out at -5.0720 eV/atom. As for the magnetic moment: 0.00 μB/atom. Its formation energy from raw total energies is -0.325 eV per atom. The calculation puts the energy above the lowest structure with this stoichiometry at 0.000 eV/atom.

a = 4.250 Å, b = 4.250 Å, c = 7.085 Å
α = 90.00°, β = 90.00°, γ = 90.00°
Space group P4/mmm (No. 123)
One atom of each set of equivalent atoms:
Sb (0.000, 0.000, 0.000) x1
Te (0.500, 0.500, 0.500) x1
Pd (0.000, 0.500, 0.264) x4
Pd (0.500, 0.500, 0.000) x1

---

First-principles (PBE-GGA) data for crystalline AcEuPd2 at its relaxed geometry, as listed in the Alexandria database.

Computed properties:
The energy comes out at -6.8573 eV/atom. As for the magnetic moment: 1.75 μB/atom. As for the energy relative to the elements: -64 kJ/mol of atoms. The calculation puts the energy above the lowest structure with this stoichiometry at 0.043 eV/atom.

a = 4.3521 Å, b = 4.3521 Å, c = 21.1482 Å
α = 90.00°, β = 90.00°, γ = 120.00°
Space group R-3m (No. 166, hexagonal axes)
One atom of each set of equivalent atoms:
Ac (0.0000, 0.0000, 0.0000) x3
Eu (0.0000, 0.0000, 0.5000) x3
Pd (0.0000, 0.0000, 0.2496) x6